(1)
An optimized crystal structure of BC2, computed with GGA-PBE.

Cell: 5.8634 5.8634 5.3242 Å, 102.07 102.07 25.28°
Element x y z (fractional)
B (0.0000, 0.0000, 0.0000)
B (0.0877, 0.0877, 0.7334)
B (0.3470, 0.3470, 0.1317)
B (0.6938, 0.6938, 0.8142)
C (0.0068, 0.0068, 0.4555)
C (0.0985, 0.0985, 0.2713)
C (0.3487, 0.3487, 0.6247)
C (0.4292, 0.4292, 0.9018)
C (0.4311, 0.4311, 0.4283)
C (0.6808, 0.6808, 0.3099)
C (0.7585, 0.7585, 0.1091)
C (0.7683, 0.7683, 0.5877)

**SG**: Cm (8)
**E_form**: 0.35 eV/atom

=====

(2)
An optimized crystal structure of MnZn3Au2, computed with GGA-PBE.

Cell: 6.3699 6.3699 3.8356 Å, 90.00 90.00 143.05°
Element x y z (fractional)
Mn (0.0000, 0.0000, 0.0000)
Zn (0.1617, 0.8383, 0.5000)
Zn (0.5000, 0.5000, 0.5000)
Zn (0.8383, 0.1617, 0.5000)
Au (0.3383, 0.6617, 0.0000)
Au (0.6617, 0.3383, 0.0000)

**SG**: Cmmm (65)
**E_form**: -0.13 eV/atom

=====

(3)
An optimized crystal structure of MnFe14Ge, computed with GGA-PBE.

Cell: 4.9305 4.9305 8.0671 Å, 90.00 90.00 109.55°
Element x y z (fractional)
Mn (0.0000, 0.0000, 0.0000)
Fe (0.0000, 0.0000, 0.5000)
Fe (0.0000, 0.5000, 0.0000)
Fe (0.0000, 0.5000, 0.5000)
Fe (0.2466, 0.2466, 0.2533)
Fe (0.2466, 0.2466, 0.7467)
Fe (0.2510, 0.7490, 0.2498)
Fe (0.2510, 0.7490, 0.7502)
Fe (0.5000, 0.0000, 0.0000)
Fe (0.5000, 0.0000, 0.5000)
Fe (0.5000, 0.5000, 0.5000)
Fe (0.7490, 0.2510, 0.2498)
Fe (0.7490, 0.2510, 0.7502)
Fe (0.7534, 0.7534, 0.2533)
Fe (0.7534, 0.7534, 0.7467)
Ge (0.5000, 0.5000, 0.0000)

**SG**: Cmmm (65)
**E_form**: 0.00 eV/atom

=====

(4)
An optimized crystal structure of Mg2MoIr, computed with GGA-PBE.

Cell: 5.0255 5.0255 4.8385 Å, 103.78 103.78 33.49°
Element x y z (fractional)
Mg (0.2388, 0.2388, 0.2416)
Mg (0.7612, 0.7612, 0.7584)
Mo (0.0000, 0.0000, 0.5000)
Ir (0.5000, 0.5000, 0.0000)

**SG**: C2/m (12)
**E_form**: 0.07 eV/atom

=====

(5)
An optimized crystal structure of RbHgBiRu2, computed with GGA-PBE.

Cell: 5.1832 5.1832 5.7900 Å, 90.00 90.00 90.00°
Element x y z (fractional)
Rb (0.0000, 0.0000, 0.0000)
Hg (0.0000, 0.0000, 0.5000)
Bi (0.5000, 0.5000, 0.0000)
Ru (0.0000, 0.5000, 0.5000)
Ru (0.5000, 0.0000, 0.5000)

**SG**: P4/mmm (123)
**E_form**: 1.60 eV/atom

=====

(6)
An optimized crystal structure of CsAsBr2Cl, computed with GGA-PBE.

Cell: 5.5288 5.5288 5.3102 Å, 90.00 90.00 90.00°
Element x y z (fractional)
Cs (0.0000, 0.0000, 0.0000)
As (0.5000, 0.5000, 0.5000)
Br (0.0000, 0.5000, 0.5000)
Br (0.5000, 0.0000, 0.5000)
Cl (0.5000, 0.5000, 0.0000)

**SG**: P4/mmm (123)
**Energy**: -3.07 eV per atom

=====

(7)
An optimized crystal structure of ScRe2Sb, computed with GGA-PBE.

Cell: 5.0321 5.0321 4.7571 Å, 105.52 105.52 38.02°
Element x y z (fractional)
Sc (0.0000, 0.0000, 0.0000)
Re (0.2402, 0.2402, 0.7158)
Re (0.7598, 0.7598, 0.2842)
Sb (0.5000, 0.5000, 0.5000)

**SG**: C2/m (12)
**Energy**: -8.62 eV per atom

=====

(8)
An optimized crystal structure of Sc4SbC, computed with GGA-PBE.

Cell: 5.2223 9.1251 6.0320 Å, 90.00 99.07 90.00°
Element x y z (fractional)
Sc (0.1940, 0.2500, 0.2598)
Sc (0.2317, 0.7500, 0.4002)
Sc (0.3038, 0.0466, 0.7351)
Sc (0.3038, 0.4534, 0.7351)
Sc (0.6962, 0.5466, 0.2649)
Sc (0.6962, 0.9534, 0.2649)
Sc (0.7683, 0.2500, 0.5998)
Sc (0.8060, 0.7500, 0.7402)
Sb (0.3454, 0.7500, 0.9355)
Sb (0.6546, 0.2500, 0.0645)
C (0.1799, 0.2500, 0.6018)
C (0.8201, 0.7500, 0.3982)

**SG**: P2_1/m (11)
**Energy**: -6.73 eV per atom

=====

(9)
An optimized crystal structure of LiMg6Cd2, computed with GGA-PBE.

Cell: 8.3285 8.3285 5.1401 Å, 99.39 99.39 140.84°
Element x y z (fractional)
Li (0.0000, 0.0000, 0.0000)
Mg (0.1623, 0.4907, 0.1673)
Mg (0.3231, 0.3231, 0.6594)
Mg (0.4907, 0.1623, 0.1673)
Mg (0.5093, 0.8377, 0.8327)
Mg (0.6769, 0.6769, 0.3406)
Mg (0.8377, 0.5093, 0.8327)
Cd (0.1624, 0.8376, 0.5000)
Cd (0.8376, 0.1624, 0.5000)

**SG**: C2/m (12)
**E_form**: -0.05 eV/atom

=====

(10)
An optimized crystal structure of Se3BrF, computed with GGA-PBE.

Cell: 5.1772 5.1772 5.1772 Å, 90.00 90.00 90.00°
Element x y z (fractional)
Se (0.0000, 0.0000, 0.5000)
Se (0.0000, 0.5000, 0.0000)
Se (0.5000, 0.0000, 0.0000)
Br (0.0000, 0.0000, 0.0000)
F (0.5000, 0.5000, 0.5000)

**SG**: Pm-3m (221)
**Energy**: -1.88 eV per atom